(1)
First-principles (PBE) data for crystalline RbInCuPb2 at its relaxed geometry, as listed in Alexandria via LeMat-Bulk.

Cell: 5.9774 5.9774 5.0830 Å, 90.00 90.00 90.00°
With the nearest neighbours (Å) after each atom.
Fractional coordinates of all 5 atoms:
1 Rb 0.0000 0.0000 0.0000  8 Pb 3.92, 4 Cu 4.23
2 In 0.5000 0.5000 0.5000  2 Cu 2.54
3 Cu 0.5000 0.5000 0.0000  2 In 2.54
4 Pb 0.0000 0.5000 0.5000  2 In 2.99
5 Pb 0.5000 0.0000 0.5000  2 In 2.99

## Properties
raw total energy: -2.7214 eV per atom
magnetic moment: 0.00 μB/cell
symmetry: No. 123



(2)
First-principles (PBE) data for crystalline InCuPbS2 at its relaxed geometry, as listed in Alexandria via LeMat-Bulk.

Cell: 4.7181 4.7181 5.2354 Å, 90.00 90.00 90.00°
With the nearest neighbours (Å) after each atom.
Fractional coordinates of all 5 atoms:
1 In 0.0000 0.0000 0.0000  4 Pb 3.34, 8 S 3.52
2 Cu 0.5000 0.5000 0.5000  4 S 2.36, 2 Pb 2.62
3 Pb 0.5000 0.5000 0.0000  2 Cu 2.62
4 S 0.0000 0.5000 0.5000  2 Cu 2.36
5 S 0.5000 0.0000 0.5000  2 Cu 2.36

## Properties
magnetic moment: 0.00 μB/cell
energy relative to the elements, uncorrected: 93 kJ/mol of formula units
symmetry: No. 123



(3)
First-principles (PBE) data for crystalline InCuPb2S4 at its relaxed geometry, as listed in Alexandria via LeMat-Bulk.

Cell: 6.4026 6.4026 6.4374 Å, 113.14 113.14 100.82°
With the nearest neighbours (Å) after each atom.
Fractional coordinates of all 8 atoms:
1 In 0.0000 0.0000 0.0000  4 S 2.51-2.52
2 Cu 0.2538 0.7462 0.5000  4 S 2.32-2.38
3 Pb 0.4628 0.5372 0.0000  4 S 2.82-2.93
4 Pb 0.7096 0.2904 0.5000  4 S 2.80-2.97
5 S 0.1239 0.3531 0.4420  1 Cu 2.32, 1 In 2.52
6 S 0.3581 0.0560 0.9246  1 Cu 2.38, 1 In 2.51
7 S 0.6469 0.8761 0.5580  1 Cu 2.32, 1 In 2.52
8 S 0.9440 0.6419 0.0754  1 Cu 2.38, 1 In 2.51

## Properties
magnetic moment: 0.00 μB/cell
energy relative to the elements, uncorrected: -323 kJ/mol of formula units
symmetry: No. 5